No. 1
The following is a PBE calculation of Mg2GaB after structural relaxation, from Alexandria.

abc: 4.1056 4.1056 16.9880
angles: 90.00 90.00 90.00
With the nearest neighbours (Å) after each atom.
Space group I-42d (No. 122)
Symmetry-distinct sites (fractional):
Mg (0.2250, 0.2500, 0.1250) [8 per cell]  2 B 2.53, 2 Ga 2.61, 2 Mg 2.76
Ga (0.0000, 0.0000, 0.5000) [4 per cell]  4 Mg 2.61, 4 B 2.90
B (0.0000, 0.0000, 0.0000) [4 per cell]  4 Mg 2.53

Computed properties:
The formation energy comes out at 703 meV/atom. Its crystal system is tetragonal. The uncorrected energy comes out at -2.521 eV per atom. For the distance to the lowest polymorph of the same formula, the calculation gives 235.9 meV per atom.

=====

No. 2
The following is a PBE calculation of MgGa2B2 after structural relaxation, from Alexandria.

abc: 6.2269 6.2269 3.8302
angles: 90.00 90.00 90.00
With the nearest neighbours (Å) after each atom.
Space group P4/mbm (No. 127)
Symmetry-distinct sites (fractional):
Mg (0.0000, 0.0000, 0.0000) [2 per cell]  4 B 2.60
Ga (0.1856, 0.3144, 0.5000) [4 per cell]  2 B 2.08
B (0.0930, 0.4070, 0.0000) [4 per cell]  1 B 1.64

Computed properties:
The formation energy comes out at 383 meV/atom. Its crystal system is tetragonal. The uncorrected energy comes out at -3.818 eV per atom. For the distance to the lowest polymorph of the same formula, the calculation gives 96.7 meV per atom.

=====

No. 3
The following is a PBE calculation of MgGa2B2 after structural relaxation, from Alexandria.

abc: 3.7437 3.7437 9.0000
angles: 90.00 90.00 90.00
With the nearest neighbours (Å) after each atom.
Space group I4/mmm (No. 139)
Symmetry-distinct sites (fractional):
Mg (0.0000, 0.0000, 0.0000) [2 per cell]  8 B 2.78, 8 Ga 2.93
Ga (0.0000, 0.5000, 0.2500) [4 per cell]  4 B 2.33
B (0.0000, 0.0000, 0.4040) [4 per cell]  1 B 1.73

Computed properties:
The formation energy comes out at 286 meV/atom. Its crystal system is tetragonal. The uncorrected energy comes out at -3.915 eV per atom. For the distance to the lowest polymorph of the same formula, the calculation gives 0.0 meV per atom.

=====

No. 4
The following is a PBE calculation of Mg3GaNi9B2 after structural relaxation, from Alexandria.

abc: 5.2690 5.2690 8.1702
angles: 90.00 90.00 120.00
With the nearest neighbours (Å) after each atom.
Space group P-3m1 (No. 164)
Symmetry-distinct sites (fractional):
Mg (0.0000, 0.0000, 0.0000) [1 per cell]  12 Ni 2.63
Mg (0.3333, 0.6667, 0.6419) [2 per cell]  6 Ni 2.73
Ga (0.0000, 0.0000, 0.5000) [1 per cell]  6 Ni 2.37
Ni (0.0000, 0.5000, 0.0000) [3 per cell]  2 B 1.94
Ni (0.1580, 0.3161, 0.2698) [6 per cell]  1 B 1.89
B (0.3333, 0.6667, 0.1475) [2 per cell]  6 Ni 1.89-1.94

Computed properties:
The formation energy comes out at -179 meV/atom. Its crystal system is trigonal. The uncorrected energy comes out at -5.059 eV per atom.